1.
Computed, not measured: an optimized crystal structure of PmLuZnTc at the PBE-GGA level of DFT.

a b c (Å): 4.9398 4.9398 4.9398
angles (deg): 60.00 60.00 60.00
Fractional coordinates of all 4 atoms:
Zn: 0.7500 0.7500 0.7500
Pm: 0.0000 0.0000 0.0000
Lu: 0.5000 0.5000 0.5000
Tc: 0.2500 0.2500 0.2500

Computed properties:
- Formation energy: -0.11 eV per atom

2.
Computed, not measured: an optimized crystal structure of Sr2PmVN4 at the PBE-GGA level of DFT.

a b c (Å): 5.5469 7.0496 7.4286
angles (deg): 90.00 90.00 90.00
Fractional coordinates of all 16 atoms:
Sr: 0.9663 0.6657 0.7561
Pm: 0.4770 0.8722 0.0000
Sr: 0.4663 0.3343 0.2561
V: 0.5008 0.8290 0.5000
N: 0.9072 0.9185 0.0000
V: 0.0008 0.1710 0.0000
N: 0.4288 0.7027 0.7162
Sr: 0.4663 0.3343 0.7439
N: 0.9288 0.2973 0.2162
Pm: 0.9770 0.1278 0.5000
Sr: 0.9663 0.6657 0.2439
N: 0.9288 0.2973 0.7838
N: 0.8246 0.8336 0.5000
N: 0.4072 0.0815 0.5000
N: 0.3246 0.1664 0.0000
N: 0.4288 0.7027 0.2838

Computed properties:
- Raw total energy: -0.5422 Ry/atom

3.
Computed, not measured: an optimized crystal structure of TaAlPt2Cl at the PBE-GGA level of DFT.

a b c (Å): 4.8486 5.5044 4.8486
angles (deg): 90.00 90.00 90.00
Fractional coordinates of all 5 atoms:
Al: 0.0000 0.5000 0.0000
Pt: 0.5000 0.0000 0.0000
Ta: 0.0000 0.0000 0.0000
Pt: 0.0000 0.0000 0.5000
Cl: 0.5000 0.5000 0.5000

Computed properties:
- Raw total energy: -0.3693 Ry/atom

4.
Computed, not measured: an optimized crystal structure of LaAlIO2 at the PBE-GGA level of DFT.

a b c (Å): 4.1635 4.1635 5.2459
angles (deg): 90.00 90.00 90.00
Fractional coordinates of all 5 atoms:
O: 0.5000 0.0000 0.0000
Al: 0.0000 0.0000 0.0000
I: 0.0000 0.0000 0.5000
La: 0.5000 0.5000 0.5000
O: 0.0000 0.5000 0.0000

Computed properties:
- Raw total energy: -0.3920 Ry/atom

5.
Computed, not measured: an optimized crystal structure of NpMn4V at the PBE-GGA level of DFT.

a b c (Å): 4.8590 4.8590 4.8590
angles (deg): 60.00 60.00 60.00
Each line ends with the local moment (μB).
Fractional coordinates of all 6 atoms:
Np: 0.2500 0.2500 0.2500  2.81
Mn: 0.6256 0.1232 0.6256  0.95
V: 0.0000 0.0000 0.0000  -1.07
Mn: 0.1232 0.6256 0.6256  0.95
Mn: 0.6256 0.6256 0.6256  0.95
Mn: 0.6256 0.6256 0.1232  0.95

Computed properties:
- Formation energy: 0.22 eV per atom

6.
Computed, not measured: an optimized crystal structure of CuNi2Ru at the PBE-GGA level of DFT.

a b c (Å): 6.4819 6.4819 5.2261
angles (deg): 51.67 51.67 90.00
Each line ends with the local moment (μB).
Fractional coordinates of all 8 atoms:
Cu: 0.5000 0.5000 0.0000  0.10
Cu: 0.2500 0.7500 0.5000  0.10
Ru: 0.7500 0.2500 0.5000  1.06
Ni: 0.1292 0.6250 0.2500  0.51
Ru: 0.0000 0.0000 0.0000  1.05
Ni: 0.6208 0.1250 0.2500  0.52
Ni: 0.8750 0.8708 0.7500  0.50
Ni: 0.3750 0.3792 0.7500  0.51

Computed properties:
- Formation energy: 0.63 eV per atom

7.
Computed, not measured: an optimized crystal structure of TbCe4As5 at the PBE-GGA level of DFT.

a b c (Å): 5.9448 7.2778 7.2778
angles (deg): 80.40 65.89 65.89
Each line ends with the local moment (μB).
Fractional coordinates of all 10 atoms:
Ce: 0.6004 0.6010 0.2003  0.63
As: 0.9012 0.3982 0.8015  -0.03
As: 0.1009 0.6018 0.1985  -0.03
Ce: 0.4017 0.3990 0.7997  0.63
Ce: 0.2014 0.2003 0.3990  0.63
As: 0.5011 0.0000 0.0000  -0.02
As: 0.2994 0.8015 0.6018  -0.03
As: 0.7026 0.1985 0.3982  -0.03
Ce: 0.8006 0.7997 0.6010  0.63
Tb: 0.0010 0.0000 0.0000  0.01

Computed properties:
- Formation energy: -1.45 eV per atom

8.
Computed, not measured: an optimized crystal structure of SrLa3S at the PBE-GGA level of DFT.

a b c (Å): 5.7148 5.7148 5.7148
angles (deg): 90.00 90.00 90.00
Fractional coordinates of all 5 atoms:
La: 0.0000 0.0000 0.5000
Sr: 0.5000 0.5000 0.5000
La: 0.5000 0.0000 0.0000
S: 0.0000 0.0000 0.0000
La: 0.0000 0.5000 0.0000

Computed properties:
- Raw total energy: -0.3560 Ry/atom

9.
Computed, not measured: an optimized crystal structure of Ac2SiPd2Pt4 at the PBE-GGA level of DFT.

a b c (Å): 6.3534 6.3534 6.3534
angles (deg): 89.91 120.05 120.05
Fractional coordinates of all 9 atoms:
Pt: 0.4637 0.7319 0.7319
Si: 0.0000 0.0000 0.0000
Ac: 0.5000 0.7500 0.2500
Pt: 0.0000 0.2681 0.7319
Pd: 0.0000 0.2756 0.2756
Ac: 0.5000 0.2500 0.7500
Pt: 0.0000 0.7319 0.2681
Pt: 0.5363 0.2681 0.2681
Pd: 0.0000 0.7244 0.7244

Computed properties:
- Raw total energy: -0.4617 Ry/atom

10.
Computed, not measured: an optimized crystal structure of Sr2ZrTi at the PBE-GGA level of DFT.

a b c (Å): 5.6284 5.6284 5.6284
angles (deg): 60.00 60.00 60.00
Each line ends with the local moment (μB).
Fractional coordinates of all 4 atoms:
Sr: 0.7500 0.7500 0.7500  0.01
Ti: 0.0000 0.0000 0.0000  -0.08
Sr: 0.2500 0.2500 0.2500  0.01
Zr: 0.5000 0.5000 0.5000  0.21

Computed properties:
- Formation energy: 0.96 eV per atom

11.
Computed, not measured: an optimized crystal structure of K2LiZnF5 at the PBE-GGA level of DFT.

a b c (Å): 3.3601 7.6002 10.9888
angles (deg): 90.00 90.00 102.77
Fractional coordinates of all 18 atoms:
Li: 0.5621 0.1241 0.9438
F: 0.3088 0.6176 0.3982
F: 0.2859 0.5718 0.6423
Li: 0.4379 0.8759 0.4438
F: 0.6912 0.3824 0.8982
F: 0.0723 0.1447 0.0275
F: 0.6583 0.3167 0.5031
F: 0.9277 0.8553 0.5275
F: 0.4968 0.9937 0.2990
Zn: 0.2099 0.4198 0.0213
K: 0.1019 0.2037 0.6784
K: 0.8694 0.7389 0.8105
K: 0.8981 0.7963 0.1784
Zn: 0.7901 0.5802 0.5213
F: 0.7141 0.4282 0.1423
F: 0.5032 0.0063 0.7990
F: 0.3417 0.6833 0.0031
K: 0.1306 0.2611 0.3105

Computed properties:
- Raw total energy: -0.3154 Ry/atom

12.
Computed, not measured: an optimized crystal structure of RbHfTeN2 at the PBE-GGA level of DFT.

a b c (Å): 4.2528 4.2528 6.0897
angles (deg): 90.00 90.00 90.00
Each line ends with the local moment (μB).
Fractional coordinates of all 5 atoms:
Hf: 0.5000 0.5000 0.5000  -0.13
Rb: 0.0000 0.0000 0.0000  0.00
N: 0.0000 0.5000 0.0000  0.10
N: 0.5000 0.0000 0.0000  0.10
Te: 0.0000 0.0000 0.5000  0.01

Computed properties:
- Raw total energy: -0.2800 Ry/atom

no.,mass density (g/cm3)
1,9.417
2,4.884
3,8.130
4,5.931
5,10.392
6,8.877
7,6.925
8,4.772
9,13.519
10,4.140
11,2.980
12,6.326